{"formula": "Cs3SrSm2S6", "functional": "PBE-GGA", "state": "relaxed", "magnetic_moment_mub_per_atom": 0.000, "space_group": "C2/m, No. 12", "dos_ef_per_ev_fu": 14.0, "volume_a3_per_fu": 385, "e_tot_ev_per_fu": -58.1, "lattice_angstrom": [[7.421, -0.001, 0.000], [-3.710, 6.427, 0.000], [-1.238, -2.144, 8.065]], "species": ["Cs", "Cs", "Cs", "Sr", "Sm", "Sm", "S", "S", "S", "S", "S", "S"], "fractional_positions": [[0.163, 0.837, 0.500], [0.837, 0.163, 0.500], [0.500, 0.500, 0.500], [0.000, 0.000, 0.000], [0.333, 0.667, 0.000], [0.667, 0.333, 0.000], [0.937, 0.585, 0.812], [0.710, 0.710, 0.186], [0.063, 0.415, 0.188], [0.585, 0.937, 0.812], [0.290, 0.290, 0.814], [0.415, 0.063, 0.188]]}